[1]
Crystalline Tc2Ni6Mo at its relaxed geometry, computed with GGA-PBE.

Unit cell a=12.119 b=9.423 c=4.098 alpha=90.00 beta=90.00 gamma=90.00
Space group Cmcm (No. 63)
Unique sites:
1 Tc 0.181 0.070 0.250 [8 per cell]
2 Ni 0.095 0.181 0.750 [8 per cell]
3 Ni 0.107 0.432 0.750 [8 per cell]
4 Ni 0.203 0.331 0.250 [8 per cell]
5 Mo 0.000 0.317 0.250 [4 per cell]

Its energy relative to the elements is 0.22 eV per atom.

[2]
Crystalline AcH2IO2 at its relaxed geometry, computed with GGA-PBE.

Unit cell a=8.140 b=4.440 c=8.143 alpha=90.00 beta=116.23 gamma=90.00
Space group P2_1/m (No. 11)
Unique sites:
1 Ac 0.205 0.250 0.051 [2 per cell]
2 H 0.295 0.075 0.476 [4 per cell]
3 I 0.295 0.750 0.746 [2 per cell]
4 O 0.119 0.750 0.094 [2 per cell]
5 O 0.304 0.250 0.407 [2 per cell]

The total DFT energy (no corrections) comes out at -5.5396 eV per atom.

[3]
Crystalline Ti3GaNi5 at its relaxed geometry, computed with GGA-PBE.

Unit cell a=7.012 b=7.012 c=10.021 alpha=90.00 beta=90.00 gamma=90.00
Space group I4/mcm (No. 140)
Unique sites:
1 Ti 0.000 0.000 0.250 [4 per cell]
2 Ti 0.120 0.380 0.000 [8 per cell]
3 Ga 0.000 0.500 0.250 [4 per cell]
4 Ni 0.000 0.000 0.000 [4 per cell]
5 Ni 0.204 0.296 0.367 [16 per cell]

Its energy relative to the elements is -0.11 eV per atom.

[4]
Crystalline HfBi2PbC at its relaxed geometry, computed with GGA-PBE.

Unit cell a=5.586 b=5.586 c=5.713 alpha=90.00 beta=90.00 gamma=90.00
Space group P4/mmm (No. 123)
Unique sites:
1 Hf 0.000 0.000 0.000 [1 per cell]
2 Bi 0.000 0.500 0.000 [2 per cell]
3 Pb 0.000 0.000 0.500 [1 per cell]
4 C 0.500 0.500 0.500 [1 per cell]

Its energy relative to the elements is 1.63 eV per atom.

[5]
Crystalline Sm12In5Ag2 at its relaxed geometry, computed with GGA-PBE.

Unit cell a=17.542 b=7.237 c=9.250 alpha=90.00 beta=96.76 gamma=90.00
Space group C2/m (No. 12)
Unique sites:
1 Sm 0.002 0.000 0.192 [4 per cell]
2 Sm 0.041 0.500 0.690 [4 per cell]
3 Sm 0.152 0.249 0.012 [8 per cell]
4 Sm 0.161 0.256 0.430 [8 per cell]
5 In 0.000 0.500 0.000 [2 per cell]
6 In 0.202 0.000 0.740 [4 per cell]
7 In 0.227 0.500 0.748 [4 per cell]
8 Ag 0.000 0.182 0.500 [4 per cell]

Its energy relative to the elements is -0.18 eV per atom.

[6]
Crystalline Sb2S2BrCl at its relaxed geometry, computed with GGA-PBE.

Unit cell a=6.858 b=13.012 c=3.899 alpha=90.00 beta=90.00 gamma=90.00
Space group Pnnm (No. 58)
Unique sites:
1 Sb 0.223 0.144 0.000 [4 per cell]
2 S 0.144 0.753 0.000 [4 per cell]
3 Br 0.000 0.000 0.500 [2 per cell]
4 Cl 0.000 0.500 0.500 [2 per cell]

As for the energy relative to the elements, uncorrected: -224.9 kJ/mol of formula units.

[7]
Crystalline BPd3W at its relaxed geometry, computed with GGA-PBE.

Unit cell a=4.823 b=4.823 c=4.823 alpha=90.00 beta=90.00 gamma=90.00
Space group Pm-3m (No. 221)
Unique sites:
1 B 0.000 0.000 0.000 [1 per cell]
2 Pd 0.000 0.500 0.500 [3 per cell]
3 W 0.500 0.500 0.500 [1 per cell]

Its energy relative to the elements is 2.01 eV per atom.

[8]
Crystalline MgCo2NiC at its relaxed geometry, computed with GGA-PBE.

Unit cell a=3.762 b=3.762 c=3.822 alpha=90.00 beta=90.00 gamma=90.00
Space group P4/mmm (No. 123)
Unique sites:
1 Mg 0.000 0.000 0.000 [1 per cell]
2 Co 0.000 0.500 0.500 [2 per cell]
3 Ni 0.500 0.500 0.000 [1 per cell]
4 C 0.500 0.500 0.500 [1 per cell]

Its energy relative to the elements is -0.10 eV per atom.

[9]
Crystalline InCu2Pt at its relaxed geometry, computed with GGA-PBE.

Unit cell a=2.936 b=3.639 c=5.725 alpha=90.00 beta=90.00 gamma=90.00
Space group Pmm2 (No. 25)
Unique sites:
1 In 0.000 0.000 0.000 [1 per cell]
2 Cu 0.000 0.000 0.518 [1 per cell]
3 Cu 0.500 0.500 0.726 [1 per cell]
4 Pt 0.500 0.500 0.270 [1 per cell]

Its energy relative to the elements is -0.14 eV per atom.

[10]
Crystalline DyHo2Tm6 at its relaxed geometry, computed with GGA-PBE.

Unit cell a=4.5755 b=4.5755 c=18.6086 alpha=90.00 beta=90.00 gamma=120.00
Space group P-6m2 (No. 187)
Unique sites:
1 Dy 0.0000 0.0000 0.0000 [1 per cell]
2 Ho 0.3333 0.6667 0.4282 [2 per cell]
3 Tm 0.0000 0.0000 0.2180 [2 per cell]
4 Tm 0.0000 0.0000 0.3891 [2 per cell]
5 Tm 0.3333 0.6667 0.1029 [2 per cell]

Its energy relative to the elements is 1.43 eV per atom.

[11]
Crystalline AlNi2HPt at its relaxed geometry, computed with GGA-PBE.

Unit cell a=3.629 b=3.629 c=3.993 alpha=90.00 beta=90.00 gamma=90.00
Space group P4/mmm (No. 123)
Unique sites:
1 Al 0.000 0.000 0.000 [1 per cell]
2 Ni 0.000 0.500 0.500 [2 per cell]
3 H 0.000 0.000 0.500 [1 per cell]
4 Pt 0.500 0.500 0.000 [1 per cell]

The total DFT energy (no corrections) comes out at -5.3586 eV per atom.

[12]
Crystalline Np2Tl3O9 at its relaxed geometry, computed with GGA-PBE.

Unit cell a=6.2689 b=6.2689 c=16.9457 alpha=90.00 beta=90.00 gamma=120.00
Space group P-3m1 (No. 164)
Unique sites:
1 Np 0.3333 0.6667 0.1592 [2 per cell]
2 Np 0.3333 0.6667 0.3408 [2 per cell]
3 Tl 0.0000 0.0000 0.2505 [2 per cell]
4 Tl 0.3333 0.6667 0.5564 [2 per cell]
5 Tl 0.3333 0.6667 0.9436 [2 per cell]
6 O 0.0586 0.5293 0.2500 [6 per cell]
7 O 0.1881 0.3763 0.0947 [6 per cell]
8 O 0.1881 0.3761 0.4053 [6 per cell]

As for the energy relative to the elements, uncorrected: -2264.7 kJ/mol of formula units.

| no. | magnetic moment (μB per atom) |
| --- | --- |
| 1 | 0.000 |
| 2 | 0.000 |
| 3 | 0.000 |
| 4 | 0.451 |
| 5 | 0.000 |
| 6 | 0.000 |
| 7 | 0.000 |
| 8 | 0.000 |
| 9 | 0.000 |
| 10 | 0.000 |
| 11 | 0.000 |
| 12 | 0.000 |